{"formula": "CrIO3", "functional": "PBE with a Hubbard U", "state": "optimized geometry", "cell": [[3.8541, 0.0000, 0.0000], [0.0000, 3.8541, 0.0000], [0.0000, 0.0000, 3.8541]], "species": ["O", "O", "O", "Cr", "I"], "frac_coords": [[0.0000, 0.0000, 0.5000], [0.0000, 0.5000, 0.0000], [0.5000, 0.0000, 0.0000], [0.0000, 0.0000, 0.0000], [0.5000, 0.5000, 0.5000]], "spacegroup": "No. 221", "density_g_cm3": 6.581, "final_energy_ha_per_atom": -0.180, "dos_ef_per_ev_fu": 6.73}